Entry 1:
The following is a DFT calculation (PBE) of DySnPb after structural relaxation.

Results
As for the space group: I4mm. The value obtained for the calculated volume is 31.12 A^3/atom. Its energy above the most stable polymorph in this dataset is 409.9 meV per atom. The crystal system is tetragonal. The formation energy from the elements comes out at -0.074 eV per atom.

Lattice parameters (Å, degrees): 3.356 3.356 8.622 101.22 101.22 90.00
Fractional positions:
Sn: 0.134 0.134 0.269
Dy: 0.762 0.762 0.524
Pb: 0.953 0.953 0.907

Entry 2:
The following is a DFT calculation (PBE) of ZnCu5F12 after structural relaxation.

Results
The calculation puts the raw formation energy at -149.6 kJ/mol of atoms. As for the space group: C2/m. The value obtained for the calculated volume is 12.98 A^3/atom. The crystal system is monoclinic.

Lattice parameters (Å, degrees): 5.341 5.622 8.841 89.80 89.58 61.64
Each line ends with the local moment (μB).
Fractional positions:
Cu: 0.167 0.667 0.500  0.72
Cu: 0.336 0.328 0.000  0.72
Cu: 0.664 0.672 0.000  0.72
Cu: 0.833 0.333 0.500  0.72
Cu: 0.500 0.000 0.500  0.72
F: 0.652 0.330 0.106  0.10
F: 0.018 0.330 0.894  0.10
F: 0.670 0.000 0.888  0.07
F: 0.508 0.334 0.605  0.14
F: 0.826 0.000 0.395  0.14
F: 0.174 0.000 0.605  0.14
F: 0.348 0.670 0.894  0.10
F: 0.841 0.666 0.605  0.14
F: 0.159 0.334 0.395  0.14
F: 0.982 0.670 0.106  0.10
F: 0.492 0.666 0.395  0.14
F: 0.330 0.000 0.112  0.07
Zn: 0.000 0.000 0.000  0.00

Entry 3:
The following is a DFT calculation (PBE) of Ca5Ga4 after structural relaxation.

Results
As for the space group: C2/m. The value obtained for the calculated volume is 27.77 A^3/atom. The crystal system is monoclinic. The formation energy from the elements comes out at -0.408 eV per atom.

Lattice parameters (Å, degrees): 4.649 5.974 10.136 77.65 76.74 67.10
Fractional positions:
Ca: 0.893 0.816 0.398
Ca: 0.245 0.337 0.174
Ca: 0.000 0.000 0.000
Ca: 0.755 0.663 0.826
Ca: 0.107 0.184 0.602
Ga: 0.449 0.272 0.830
Ga: 0.606 0.403 0.385
Ga: 0.551 0.728 0.170
Ga: 0.394 0.597 0.615

Entry 4:
The following is a DFT calculation (PBE) of PmErW2N6 after structural relaxation.

Results
The calculation puts the raw formation energy at -97.9 kJ/mol of atoms. As for the space group: C2/c. The value obtained for the calculated volume is 15.33 A^3/atom. The crystal system is monoclinic.

Lattice parameters (Å, degrees): 6.196 7.267 7.267 82.80 75.74 75.74
Fractional positions:
N: 0.355 0.216 0.002
N: 0.145 0.998 0.784
N: 0.660 0.105 0.623
N: 0.977 0.346 0.370
N: 0.840 0.377 0.895
N: 0.855 0.002 0.216
N: 0.023 0.654 0.630
N: 0.523 0.630 0.654
N: 0.645 0.784 0.998
N: 0.340 0.895 0.377
N: 0.477 0.370 0.346
N: 0.160 0.623 0.105
Pm: 0.750 0.696 0.304
Pm: 0.250 0.304 0.696
W: 0.248 0.802 0.618
W: 0.748 0.618 0.802
W: 0.752 0.198 0.382
W: 0.252 0.382 0.198
Er: 0.250 0.913 0.087
Er: 0.750 0.087 0.913

Entry 5:
The following is a DFT calculation (PBE) of Pm2Sm2Sc after structural relaxation.

Results
As for the space group: Cmc2_1. The value obtained for the calculated volume is 32.00 A^3/atom. Its energy above the most stable polymorph in this dataset is 0.0 meV per atom. The crystal system is orthorhombic. The formation energy from the elements comes out at 0.077 eV per atom.

Lattice parameters (Å, degrees): 5.388 7.020 8.879 90.00 107.66 90.00
Fractional positions:
Sm: 0.802 0.830 0.603
Sm: 0.602 0.077 0.205
Sm: 0.398 0.577 0.795
Sm: 0.198 0.330 0.397
Sc: 0.391 0.077 0.782
Sc: 0.609 0.577 0.218
Pm: 0.000 0.327 0.999
Pm: 0.801 0.324 0.602
Pm: 0.199 0.824 0.398
Pm: 0.000 0.827 0.001

Entry 6:
The following is a DFT calculation (PBE) of Cd2W after structural relaxation.

Results
As for the space group: Pnma. The value obtained for the calculated volume is 19.75 A^3/atom. Its energy above the most stable polymorph in this dataset is 31.8 meV per atom. The crystal system is orthorhombic. The formation energy from the elements comes out at 0.475 eV per atom.

Lattice parameters (Å, degrees): 6.027 3.112 12.635 90.00 90.00 90.00
Fractional positions:
W: 0.583 0.250 0.567
W: 0.417 0.750 0.433
W: 0.083 0.250 0.933
W: 0.917 0.750 0.067
Cd: 0.141 0.250 0.250
Cd: 0.397 0.750 0.082
Cd: 0.897 0.750 0.418
Cd: 0.641 0.250 0.250
Cd: 0.103 0.250 0.582
Cd: 0.603 0.250 0.918
Cd: 0.359 0.750 0.750
Cd: 0.859 0.750 0.750

Entry 7:
The following is a DFT calculation (PBE) of Nd3ZnGe6Pd2 after structural relaxation.

Results
As for the space group: P-3m1. The value obtained for the calculated volume is 21.57 A^3/atom. The crystal system is trigonal. The formation energy from the elements comes out at -0.413 eV per atom.

Lattice parameters (Å, degrees): 5.951 5.951 8.439 90.00 90.00 120.00
Fractional positions:
Nd: 0.333 0.667 0.614
Nd: 0.000 0.000 0.000
Nd: 0.667 0.333 0.386
Ge: 0.374 0.187 0.724
Ge: 0.187 0.374 0.276
Ge: 0.626 0.813 0.276
Ge: 0.813 0.187 0.724
Ge: 0.813 0.626 0.724
Ge: 0.187 0.813 0.276
Pd: 0.667 0.333 0.979
Pd: 0.333 0.667 0.021
Zn: 0.000 0.000 0.500

Entry 8:
The following is a DFT calculation (PBE) of K2Mg3 after structural relaxation.

Results
As for the space group: R-3m. The value obtained for the calculated volume is 35.88 A^3/atom. Its energy above the most stable polymorph in this dataset is 109.6 meV per atom. The crystal system is trigonal. The formation energy from the elements comes out at 0.294 eV per atom.

Lattice parameters (Å, degrees): 15.538 15.538 15.538 13.56 13.56 13.56
Fractional positions:
Mg: 0.000 0.000 0.000
Mg: 0.193 0.193 0.193
Mg: 0.807 0.807 0.807
K: 0.595 0.595 0.595
K: 0.405 0.405 0.405

Entry 9:
The following is a DFT calculation (PBE) of Ho3Mo5N12 after structural relaxation.

Results
The calculation puts the raw formation energy at -67.1 kJ/mol of atoms. As for the space group: Ia-3d. The value obtained for the calculated volume is 12.92 A^3/atom. The crystal system is cubic.

Lattice parameters (Å, degrees): 11.032 11.032 11.032 109.47 109.47 109.47
Fractional positions:
N: 0.022 0.404 0.819
N: 0.382 0.978 0.797
N: 0.681 0.203 0.585
N: 0.297 0.415 0.819
N: 0.404 0.022 0.319
N: 0.382 0.404 0.085
N: 0.203 0.522 0.618
N: 0.882 0.585 0.904
N: 0.882 0.297 0.478
N: 0.618 0.596 0.915
N: 0.618 0.022 0.203
N: 0.478 0.681 0.096
N: 0.904 0.085 0.882
N: 0.978 0.596 0.181
N: 0.118 0.415 0.096
N: 0.797 0.319 0.915
N: 0.596 0.618 0.415
N: 0.404 0.382 0.585
N: 0.797 0.478 0.382
N: 0.522 0.319 0.904
N: 0.415 0.297 0.319
N: 0.978 0.382 0.297
N: 0.585 0.703 0.681
N: 0.022 0.618 0.703
N: 0.915 0.096 0.618
N: 0.085 0.181 0.203
N: 0.904 0.819 0.522
N: 0.096 0.181 0.478
N: 0.522 0.203 0.118
N: 0.681 0.478 0.596
N: 0.118 0.703 0.522
N: 0.819 0.915 0.297
N: 0.203 0.681 0.085
N: 0.819 0.904 0.022
N: 0.319 0.797 0.415
N: 0.319 0.522 0.404
N: 0.085 0.904 0.382
N: 0.703 0.585 0.181
N: 0.915 0.819 0.797
N: 0.585 0.882 0.404
N: 0.596 0.978 0.681
N: 0.703 0.118 0.022
N: 0.181 0.096 0.978
N: 0.415 0.118 0.596
N: 0.181 0.085 0.703
N: 0.297 0.882 0.978
N: 0.096 0.915 0.118
N: 0.478 0.797 0.882
Mo: 0.750 0.125 0.875
Mo: 0.000 0.000 0.500
Mo: 0.250 0.875 0.125
Mo: 0.125 0.375 0.250
Mo: 0.875 0.250 0.625
Mo: 0.375 0.250 0.125
Mo: 0.000 0.000 0.000
Mo: 0.500 0.000 0.500
Mo: 0.625 0.875 0.250
Mo: 0.375 0.125 0.750
Mo: 0.500 0.500 0.500
Mo: 0.625 0.750 0.875
Mo: 0.750 0.625 0.375
Mo: 0.250 0.375 0.625
Mo: 0.000 0.500 0.500
Mo: 0.875 0.625 0.750
Mo: 0.125 0.750 0.375
Mo: 0.500 0.500 0.000
Mo: 0.500 0.000 0.000
Mo: 0.000 0.500 0.000
Ho: 0.875 0.125 0.250
Ho: 0.375 0.625 0.250
Ho: 0.875 0.750 0.125
Ho: 0.625 0.375 0.750
Ho: 0.625 0.250 0.375
Ho: 0.375 0.750 0.625
Ho: 0.250 0.625 0.875
Ho: 0.125 0.250 0.875
Ho: 0.250 0.125 0.375
Ho: 0.125 0.875 0.750
Ho: 0.750 0.875 0.625
Ho: 0.750 0.375 0.125